Entry from the Alexandria database: PrAlPd5 after structural relaxation (GGA-PBE).

Unit cell a=4.182 b=4.182 c=7.161 alpha=90.00 beta=90.00 gamma=90.00
Positions (direct):
1 Pr 0.000 0.000 0.000
2 Al 0.500 0.500 0.500
3 Pd 0.000 0.500 0.299
4 Pd 0.000 0.500 0.701
5 Pd 0.500 0.000 0.299
6 Pd 0.500 0.000 0.701
7 Pd 0.500 0.500 0.000

- VASP energy (eV/f.u.) = -39.38
- symmetry = No. 123



Entry from the Alexandria database: PrAl2Pd after structural relaxation (GGA-PBE).

Unit cell a=3.252 b=3.252 c=7.468 alpha=90.00 beta=90.00 gamma=90.00
Positions (direct):
1 Pr 0.000 0.000 0.000
2 Al 0.500 0.500 0.312
3 Al 0.500 0.500 0.688
4 Pd 0.000 0.000 0.500

- VASP energy (eV/f.u.) = -19.75
- symmetry = No. 123



Entry from the Alexandria database: PrAl9Pd2 after structural relaxation (GGA-PBE).

Unit cell a=8.417 b=8.417 c=8.417 alpha=100.68 beta=100.68 gamma=129.01
Positions (direct):
1 Pr 0.375 0.625 0.750
2 Pr 0.625 0.375 0.250
3 Al 0.125 0.875 0.250
4 Al 0.135 0.560 0.330
5 Al 0.135 0.805 0.575
6 Al 0.195 0.271 0.330
7 Al 0.195 0.865 0.925
8 Al 0.271 0.195 0.830
9 Al 0.271 0.440 0.075
10 Al 0.440 0.271 0.575
11 Al 0.440 0.865 0.170
12 Al 0.560 0.135 0.830
13 Al 0.560 0.729 0.425
14 Al 0.729 0.560 0.925
15 Al 0.729 0.805 0.170
16 Al 0.805 0.135 0.075
17 Al 0.805 0.729 0.670
18 Al 0.865 0.195 0.425
19 Al 0.865 0.440 0.670
20 Al 0.875 0.125 0.750
21 Pd 0.000 0.000 0.000
22 Pd 0.000 0.000 0.500
23 Pd 0.000 0.500 0.000
24 Pd 0.500 0.000 0.500

- VASP energy (eV/f.u.) = -54.23
- symmetry = No. 141



> The lowest VASP energy belongs to which entry?

PrAl9Pd2